PBE TaNiPb2, optimized geometry; DFT formation energy = 163 meV/atom; uncorrected energy = -6.099 eV per atom; ρ = 11.844 g/cm³
1.0
3.150 0.000 0.000
0.000 3.150 0.000
0.000 0.000 9.239
Ta Ni Pb
1 1 2
Direct
0.000 0.000 0.000
0.500 0.500 0.142
0.000 0.000 0.363
0.500 0.500 0.744